# LiMgSe2 | Alexandria via LeMat-Bulk | GGA-PBE | relaxed
data_LiMgSe2
_chemical_formula_sum 'Li3 Mg3 Se6'
_cell_length_a 4.0234
_cell_length_b 4.0234
_cell_length_c 17.7149
_cell_angle_alpha 90.00
_cell_angle_beta 90.00
_cell_angle_gamma 120.00
_symmetry_space_group_name_H-M 'R 3 m'
_symmetry_Int_Tables_number 160
_symmetry_space_group_name_Hall 'R 3 -2"'
loop_
_atom_site_label
_atom_site_type_symbol
_atom_site_fract_x
_atom_site_fract_y
_atom_site_fract_z
Li1 Li 0.0000 0.0000 0.0000
Mg1 Mg 0.0000 0.0000 0.1720
Se1 Se 0.0000 0.0000 0.5861
Se2 Se 0.0000 0.0000 0.7565
# Volume: 248.3 Å³/cell
# Final energy: -3.566 eV/atom
# Energy relative to the elements, uncorrected: -21.82 kcal/mol of atoms